{"formula": "BeAs2Se", "functional": "PBE-GGA", "state": "relaxed", "lattice_angstrom": [[2.969, 0.027, 0.000], [-0.534, 2.921, 0.000], [0.000, 0.000, 8.433]], "species": ["Be", "As", "As", "Se"], "frac_coords": [[0.500, 0.500, 0.250], [0.000, 0.000, 0.086], [0.000, 0.000, 0.414], [0.500, 0.500, 0.750]]}

---

{"formula": "LaPrSiPd", "functional": "PBE-GGA", "state": "relaxed", "lattice_angstrom": [[4.236, 0.000, 0.000], [0.000, 4.302, 0.000], [-2.118, 0.000, 5.636]], "species": ["La", "Pr", "Si", "Pd"], "frac_coords": [[0.859, 0.500, 0.718], [0.137, 0.000, 0.275], [0.574, 0.500, 0.148], [0.430, 0.000, 0.860]]}

---

{"formula": "Rb2TePdI6", "functional": "PBE-GGA", "state": "relaxed", "lattice_angstrom": [[-8.308, -0.259, -0.769], [-0.039, -7.774, 3.041], [-4.749, -1.866, 6.627]], "species": ["I", "I", "I", "I", "I", "I", "Te", "Rb", "Rb", "Pd"], "frac_coords": [[0.261, 0.261, 0.478], [0.739, 0.739, 0.522], [0.262, 0.262, 0.000], [0.738, 0.738, 0.000], [0.738, 0.262, 0.000], [0.262, 0.738, 0.000], [0.000, 0.000, 0.000], [0.750, 0.250, 0.500], [0.250, 0.750, 0.500], [0.500, 0.500, 0.000]]}

---

{"formula": "KPrWN3", "functional": "PBE-GGA", "state": "relaxed", "lattice_angstrom": [[-3.677, -0.292, 1.420], [4.158, -3.983, 4.447], [0.519, 7.490, 2.885]], "species": ["K", "K", "Pr", "Pr", "W", "W", "N", "N", "N", "N", "N", "N"], "frac_coords": [[0.358, 0.715, 0.933], [0.642, 0.285, 0.067], [0.664, 0.328, 0.599], [0.336, 0.672, 0.401], [0.008, 0.017, 0.325], [0.992, 0.983, 0.675], [0.870, 0.739, 0.209], [0.846, 0.691, 0.646], [0.512, 0.025, 0.343], [0.154, 0.309, 0.354], [0.488, 0.975, 0.657], [0.130, 0.261, 0.791]]}

---

In μB per formula unit, the total magnetization values for the records above are, in order, 0.00, 0.00, 0.00, 0.00.
In eV/f.u., the energy relative to the elements, uncorrected values for the records above are, in order, 1.240, -3.011, -6.718, -3.332.